(1)
Density functional theory data (GGA-PBE) for Pm4Co2N after structural relaxation.

For the raw formation energy, the calculation gives -0.1307 eV/atom.

Geometry as POSCAR:
```
Pm4Co2N
1.0
-2.435 2.435 7.135
2.435 -2.435 7.135
2.435 2.435 -7.135
Pm Co N
4 2 1
direct
0.000 0.500 0.500
0.195 0.195 0.000
0.500 0.000 0.500
0.805 0.805 0.000
0.373 0.373 0.000
0.627 0.627 0.000
0.500 0.500 0.000
```

***

(2)
Density functional theory data (GGA-PBE) for UCo3H after structural relaxation.

Its energy is -36.91 eV/cell.

Geometry as POSCAR:
```
UCo3H
1.0
3.786 0.000 0.000
0.000 3.786 0.000
0.000 0.000 3.786
U Co H
1 3 1
direct
0.000 0.000 0.000
0.000 0.500 0.500
0.500 0.000 0.500
0.500 0.500 0.000
0.500 0.500 0.500
```

***

(3)
Density functional theory data (GGA-PBE) for ZnIrC3 after structural relaxation.

The formation energy is 3.06 eV per atom.

Geometry as POSCAR:
```
ZnIrC3
1.0
3.851 0.000 0.000
0.000 3.851 0.000
0.000 0.000 3.851
Zn Ir C
1 1 3
direct
0.000 0.000 0.000
0.500 0.500 0.500
0.000 0.000 0.500
0.000 0.500 0.000
0.500 0.000 0.000
```

***

| no. | Fermi-level density of states (states/eV per cell) |
| --- | --- |
| 1 | 7.50 |
| 2 | 1.68 |
| 3 | 4.20 |